Record 1
The following is a DFT calculation (PBE) of a relaxed structure of NaTe2Pd.

Unit cell a=6.0207 b=6.1595 c=7.6048 alpha=101.68 beta=100.88 gamma=120.76
Closest atoms and distances in Å follow each position.
Element x y z (fractional)
Na 0.1555 0.4055 0.3110  4 Pd 3.22-3.42, 6 Te 3.30-3.51
Na 0.8445 0.5945 0.6890  4 Pd 3.22-3.42, 6 Te 3.30-3.51
Te 0.4564 0.0924 0.2302  2 Pd 2.67-2.74, 1 Te 2.89
Te 0.7738 0.6378 0.2302  2 Pd 2.67-2.74, 1 Te 2.89
Te 0.5436 0.9076 0.7698  2 Pd 2.67-2.74, 1 Te 2.89
Te 0.2262 0.3622 0.7698  2 Pd 2.67-2.74, 1 Te 2.89
Pd 0.7373 0.9873 0.4745  4 Te 2.67-2.74
Pd 0.2627 0.0127 0.5255  4 Te 2.67-2.74

Formation energy without anion corrections = -0.4162 eV per atom
SG = C2/c (15)
Excess energy over the best structure of this formula in the dataset = 0.038 eV/atom

Record 2
The following is a DFT calculation (PBE) of a relaxed structure of YBe3Cl.

Unit cell a=4.4106 b=4.4106 c=4.4106 alpha=90.00 beta=90.00 gamma=90.00
Closest atoms and distances in Å follow each position.
Element x y z (fractional)
Y 0.5000 0.5000 0.5000  12 Be 3.12
Be 0.0000 0.5000 0.0000  2 Cl 2.21
Be 0.0000 0.0000 0.5000  2 Cl 2.21
Be 0.5000 0.0000 0.0000  2 Cl 2.21
Cl 0.0000 0.0000 0.0000  6 Be 2.21

Formation energy without anion corrections = 0.9012 eV per atom
SG = Pm-3m (221)

The following raw total energy values (in eV/atom) correspond, in order, to the records above: -3.615 -2.997.